No. 1
This record from Alexandria via LeMat-Bulk describes a geometry-optimized Tb14TmAl structure. The functional is PBE.

abc: 6.8891 6.8891 10.8214
angles: 90.00 90.00 105.03
Positions (direct):
Tb (0.8911, 0.7076, 0.5000)
Tb (0.4524, 0.1361, 0.0000)
Tb (0.2924, 0.1089, 0.5000)
Tb (0.5913, 0.4087, 0.2738)
Tb (0.8639, 0.5476, 0.0000)
Tb (0.1552, 0.8448, 0.7807)
Tb (0.8137, 0.1863, 0.5000)
Tb (0.6698, 0.9189, 0.2361)
Tm (0.3877, 0.6123, 0.0000)
Tb (0.3629, 0.6371, 0.5000)
Tb (0.0811, 0.3302, 0.2361)
Tb (0.0811, 0.3302, 0.7639)
Tb (0.6698, 0.9189, 0.7639)
Tb (0.1552, 0.8448, 0.2193)
Al (0.9412, 0.0588, 0.0000)
Tb (0.5913, 0.4087, 0.7262)

Total magnetic moment   0.00 μB per atom
SG   Amm2, No. 38
E   -4.56 eV per atom

No. 2
This record from Alexandria via LeMat-Bulk describes a geometry-optimized TbTmAl6 structure. The functional is PBE.

abc: 5.4902 5.4902 5.4902
angles: 90.00 90.00 90.00
Positions (direct):
Al (0.5000, 0.7503, 0.0000)
Al (0.7503, 0.0000, 0.5000)
Tb (0.5000, 0.5000, 0.5000)
Tm (0.0000, 0.0000, 0.0000)
Al (0.0000, 0.5000, 0.2497)
Al (0.2497, 0.0000, 0.5000)
Al (0.5000, 0.2497, 0.0000)
Al (0.0000, 0.5000, 0.7503)

Total magnetic moment   0.00 μB per atom
SG   Pm-3, No. 200
E   -4.03 eV per atom

No. 3
This record from Alexandria via LeMat-Bulk describes a geometry-optimized TbTmAl2Zn2 structure. The functional is PBE.

abc: 4.4707 4.4707 7.1191
angles: 90.00 90.00 120.00
Positions (direct):
Zn (0.3333, 0.6667, 0.2352)
Zn (0.6667, 0.3333, 0.7648)
Tb (0.0000, 0.0000, 0.5000)
Al (0.6667, 0.3333, 0.2398)
Tm (0.0000, 0.0000, 0.0000)
Al (0.3333, 0.6667, 0.7602)

Total magnetic moment   0.00 μB per atom
SG   P-3m1, No. 164
E   -3.64 eV per atom

No. 4
This record from Alexandria via LeMat-Bulk describes a geometry-optimized TbTmAlZn structure. The functional is PBE.

abc: 5.0556 5.0556 5.0556
angles: 60.00 60.00 60.00
Positions (direct):
Al (0.5000, 0.5000, 0.5000)
Zn (0.0000, 0.0000, 0.0000)
Tb (0.7500, 0.7500, 0.7500)
Tm (0.2500, 0.2500, 0.2500)

Total magnetic moment   0.00 μB per atom
SG   F-43m, No. 216
E   -3.90 eV per atom

No. 5
This record from Alexandria via LeMat-Bulk describes a geometry-optimized TbTmAlZn structure. The functional is PBE.

abc: 3.5549 3.5549 7.1973
angles: 90.00 90.00 90.00
Positions (direct):
Tm (0.5000, 0.5000, 0.1132)
Tb (0.5000, 0.5000, 0.6035)
Zn (0.0000, 0.0000, 0.3469)
Al (0.0000, 0.0000, 0.8643)

Total magnetic moment   0.00 μB per atom
SG   P4mm, No. 99
E   -3.91 eV per atom

No. 6
This record from Alexandria via LeMat-Bulk describes a geometry-optimized TbTmZrAl structure. The functional is PBE.

abc: 5.1497 5.1497 5.1497
angles: 60.00 60.00 60.00
Positions (direct):
Al (0.5000, 0.5000, 0.5000)
Tm (0.0000, 0.0000, 0.0000)
Tb (0.7500, 0.7500, 0.7500)
Zr (0.2500, 0.2500, 0.2500)

Total magnetic moment   0.00 μB per atom
SG   F-43m, No. 216
E   -5.37 eV per atom

No. 7
This record from Alexandria via LeMat-Bulk describes a geometry-optimized Tb2AlV structure. The functional is PBE.

abc: 3.3006 3.3006 10.7696
angles: 81.19 81.19 60.00
Last column: magnetic moment on the atom in μB.
Positions (direct):
V (0.0000, 0.0000, 0.0000)  2.53
Tb (0.0906, 0.0906, 0.7281)  0.07
Tb (0.9094, 0.9094, 0.2719)  0.07
Al (0.5000, 0.5000, 0.5000)  0.00

Total magnetic moment   0.78 μB per atom
SG   R-3m, No. 166
E   -5.02 eV per atom

No. 8
This record from Alexandria via LeMat-Bulk describes a geometry-optimized TbAl2V structure. The functional is PBE.

abc: 2.9925 2.9925 9.8590
angles: 81.27 81.27 60.00
Positions (direct):
Al (0.2613, 0.2613, 0.2161)
Tb (0.5000, 0.5000, 0.5000)
V (0.0000, 0.0000, 0.0000)
Al (0.7387, 0.7387, 0.7839)

Total magnetic moment   0.00 μB per atom
SG   R-3m, No. 166
E   -5.20 eV per atom

No. 9
This record from Alexandria via LeMat-Bulk describes a geometry-optimized Tb2AlV structure. The functional is PBE.

abc: 3.7232 5.0423 5.0423
angles: 90.00 90.00 90.00
Last column: magnetic moment on the atom in μB.
Positions (direct):
Tb (0.0000, 0.5000, 0.0000)  0.23
Al (0.5000, 0.0000, 0.0000)  -0.01
Tb (0.0000, 0.0000, 0.5000)  0.23
V (0.5000, 0.5000, 0.5000)  2.51

Total magnetic moment   0.90 μB per atom
SG   P4/mmm, No. 123
E   -5.55 eV per atom

No. 10
This record from Alexandria via LeMat-Bulk describes a geometry-optimized Tb6Al43V4 structure. The functional is PBE.

abc: 10.9927 10.9927 17.6838
angles: 90.00 90.00 120.00
Positions (direct):
Al (0.7533, 0.2467, 0.0000)
V (0.0000, 0.0000, 0.5000)
V (0.7315, 0.0000, 0.7500)
Al (0.2515, 0.2515, 0.4708)
Al (0.3923, 0.2334, 0.1652)
Al (0.7533, 0.5065, 0.5000)
V (0.2685, 0.2685, 0.7500)
Al (0.1559, 0.0000, 0.3843)
Al (0.7485, 0.0000, 0.0292)
Al (0.0000, 0.1559, 0.3843)
Al (0.1559, 0.1559, 0.6157)
Al (0.6077, 0.7666, 0.8348)
Al (0.3333, 0.6667, 0.3733)
Al (0.8550, 0.4034, 0.2500)
Al (0.6667, 0.3333, 0.3733)
Al (0.7666, 0.6077, 0.6652)
Al (0.3333, 0.6667, 0.6267)
Al (0.2334, 0.3923, 0.1652)
Al (0.0000, 0.2515, 0.5292)
V (0.0000, 0.7315, 0.7500)
Al (0.7485, 0.7485, 0.5292)
Al (0.5483, 0.1450, 0.2500)
Al (0.8540, 0.8540, 0.7500)
Tb (0.5286, 0.5286, 0.4042)
Al (0.5966, 0.4517, 0.2500)
Al (0.2515, 0.0000, 0.5292)
Al (0.8441, 0.8441, 0.1157)
Al (0.1450, 0.5966, 0.7500)
Al (0.0000, 0.1460, 0.7500)
Al (0.6077, 0.7666, 0.6652)
Al (0.4935, 0.2467, 0.0000)
Al (0.3923, 0.2334, 0.3348)
Al (0.1559, 0.0000, 0.1157)
Al (0.7485, 0.0000, 0.4708)
Al (0.3923, 0.1589, 0.6652)
Tb (0.4714, 0.4714, 0.9042)
Tb (0.5286, 0.0000, 0.9042)
Al (0.2467, 0.4935, 0.0000)
Al (0.8411, 0.2334, 0.6652)
Al (0.1589, 0.7666, 0.1652)
Al (0.2467, 0.7533, 0.5000)
Tb (0.0000, 0.4714, 0.4042)
Al (0.2334, 0.3923, 0.3348)
Al (0.0000, 0.8441, 0.8843)
V (0.0000, 0.0000, 0.0000)
Al (0.6077, 0.8411, 0.1652)
Al (0.5483, 0.4034, 0.7500)
Al (0.7666, 0.1589, 0.3348)
Al (0.0000, 0.1559, 0.1157)
Al (0.4935, 0.2467, 0.5000)
Al (0.0000, 0.8441, 0.6157)
Al (0.2334, 0.8411, 0.6652)
Al (0.8441, 0.8441, 0.3843)
Tb (0.5286, 0.5286, 0.0958)
Al (0.8411, 0.2334, 0.8348)
Al (0.2467, 0.4935, 0.5000)
Al (0.7666, 0.1589, 0.1652)
Al (0.1589, 0.3923, 0.8348)
Tb (0.5286, 0.0000, 0.5958)
Al (0.5065, 0.7533, 0.5000)
Al (0.2334, 0.8411, 0.8348)
Al (0.0000, 0.2515, 0.9708)
Al (0.4517, 0.5966, 0.2500)
Al (0.7666, 0.6077, 0.8348)
Al (0.1460, 0.0000, 0.7500)
Al (0.6667, 0.3333, 0.1267)
Al (0.4034, 0.8550, 0.2500)
Al (0.1559, 0.1559, 0.8843)
Al (0.3923, 0.1589, 0.8348)
Al (0.1460, 0.1460, 0.2500)
Al (0.1589, 0.3923, 0.6652)
Al (0.0000, 0.7485, 0.4708)
Tb (0.0000, 0.4714, 0.0958)
Tb (0.4714, 0.0000, 0.0958)
Tb (0.4714, 0.4714, 0.5958)
Tb (0.4714, 0.0000, 0.4042)
Al (0.0000, 0.7485, 0.0292)
Al (0.6667, 0.3333, 0.6267)
Al (0.6667, 0.3333, 0.8733)
Tb (0.0000, 0.5286, 0.9042)
Al (0.0000, 0.8540, 0.2500)
V (0.7315, 0.7315, 0.2500)
Al (0.4517, 0.8550, 0.7500)
Al (0.8550, 0.4517, 0.7500)
Al (0.8411, 0.6077, 0.3348)
Al (0.1450, 0.5483, 0.2500)
Al (0.4034, 0.5483, 0.7500)
V (0.0000, 0.2685, 0.2500)
Al (0.5065, 0.7533, 0.0000)
Al (0.8441, 0.0000, 0.8843)
Al (0.2467, 0.7533, 0.0000)
Al (0.8540, 0.0000, 0.2500)
Al (0.7533, 0.5065, 0.0000)
Al (0.6077, 0.8411, 0.3348)
Al (0.3333, 0.6667, 0.8733)
Al (0.7533, 0.2467, 0.5000)
Tb (0.0000, 0.5286, 0.5958)
Al (0.7485, 0.7485, 0.9708)
Al (0.2515, 0.0000, 0.9708)
V (0.2685, 0.0000, 0.2500)
Al (0.8411, 0.6077, 0.1652)
Al (0.8441, 0.0000, 0.6157)
Al (0.2515, 0.2515, 0.0292)
Al (0.1589, 0.7666, 0.3348)
Al (0.3333, 0.6667, 0.1267)
Al (0.5966, 0.1450, 0.7500)

Total magnetic moment   0.00 μB per atom
SG   P6_3/mcm, No. 193
E   -4.57 eV per atom

No. 11
This record from Alexandria via LeMat-Bulk describes a geometry-optimized Tb6Al39V8 structure. The functional is PBE.

abc: 11.0125 11.0125 17.5223
angles: 90.00 90.00 120.00
Last column: magnetic moment on the atom in μB.
Positions (direct):
V (0.3333, 0.6667, 0.1297)  1.38
Al (0.2500, 0.2500, 0.9720)  0.00
Al (0.8474, 0.0000, 0.7500)  -0.01
Tb (0.4650, 0.4650, 0.0990)  -0.04
V (0.3333, 0.6667, 0.6297)  1.38
Al (0.3963, 0.2335, 0.8385)  -0.01
Al (0.7665, 0.6037, 0.1615)  -0.01
Al (0.7665, 0.1628, 0.6615)  -0.01
Tb (0.0000, 0.5350, 0.0990)  -0.04
Al (0.0000, 0.8477, 0.1174)  -0.01
Al (0.8455, 0.4493, 0.2500)  -0.01
Al (0.2500, 0.2500, 0.5280)  0.00
V (0.2638, 0.0000, 0.7500)  0.43
V (0.3333, 0.6667, 0.3703)  1.38
Al (0.0000, 0.1523, 0.8826)  -0.01
Al (0.5507, 0.3962, 0.2500)  -0.01
Al (0.4493, 0.8455, 0.2500)  -0.01
Al (0.3963, 0.2335, 0.6615)  -0.01
Al (0.8474, 0.8474, 0.2500)  -0.01
Al (0.0000, 0.8477, 0.3826)  -0.01
Al (0.7500, 0.7500, 0.4720)  0.00
Al (0.8372, 0.2335, 0.3385)  -0.01
V (0.2638, 0.2638, 0.2500)  0.43
Al (0.0000, 0.1526, 0.2500)  -0.01
Al (0.4998, 0.7499, 0.5000)  -0.01
Al (0.7500, 0.7500, 0.0280)  0.00
Tb (0.4650, 0.4650, 0.4010)  -0.04
Al (0.6038, 0.1545, 0.2500)  -0.01
Tb (0.4650, 0.0000, 0.9010)  -0.04
Al (0.2335, 0.8372, 0.3385)  -0.01
Al (0.1545, 0.5507, 0.7500)  -0.01
Al (0.0000, 0.1523, 0.6174)  -0.01
Al (0.8477, 0.0000, 0.1174)  -0.01
Al (0.8372, 0.6037, 0.6615)  -0.01
Al (0.7499, 0.2501, 0.5000)  -0.01
Al (0.0000, 0.2500, 0.4720)  0.00
Al (0.7499, 0.4998, 0.0000)  -0.01
Al (0.1545, 0.6038, 0.2500)  -0.01
Tb (0.5350, 0.5350, 0.9010)  -0.04
Al (0.4998, 0.7499, 0.0000)  -0.01
Al (0.1526, 0.0000, 0.2500)  -0.01
Al (0.1526, 0.1526, 0.7500)  -0.01
V (0.7362, 0.0000, 0.2500)  0.43
V (0.6667, 0.3333, 0.8703)  1.38
Al (0.2500, 0.0000, 0.4720)  0.00
V (0.6667, 0.3333, 0.1297)  1.38
Al (0.2501, 0.7499, 0.0000)  -0.01
Al (0.7665, 0.1628, 0.8385)  -0.01
Al (0.6037, 0.7665, 0.1615)  -0.01
Al (0.2500, 0.0000, 0.0280)  0.00
Tb (0.5350, 0.0000, 0.4010)  -0.04
Al (0.3963, 0.1628, 0.3385)  -0.01
Tb (0.4650, 0.0000, 0.5990)  -0.04
Tb (0.0000, 0.4650, 0.5990)  -0.04
Al (0.3963, 0.1628, 0.1615)  -0.01
Al (0.7500, 0.0000, 0.5280)  0.00
Al (0.2335, 0.8372, 0.1615)  -0.01
Al (0.8372, 0.2335, 0.1615)  -0.01
Al (0.5507, 0.1545, 0.7500)  -0.01
Al (0.2501, 0.5002, 0.5000)  -0.01
Al (0.0000, 0.8474, 0.7500)  -0.01
Al (0.7500, 0.0000, 0.9720)  0.00
Tb (0.5350, 0.5350, 0.5990)  -0.04
Al (0.2501, 0.7499, 0.5000)  -0.01
Al (0.8477, 0.8477, 0.8826)  -0.01
Al (0.2501, 0.5002, 0.0000)  -0.01
Tb (0.0000, 0.4650, 0.9010)  -0.04
Al (0.7499, 0.2501, 0.0000)  -0.01
Al (0.1523, 0.0000, 0.8826)  -0.01
Al (0.7665, 0.6037, 0.3385)  -0.01
Al (0.1628, 0.7665, 0.8385)  -0.01
Al (0.5002, 0.2501, 0.0000)  -0.01
Al (0.5002, 0.2501, 0.5000)  -0.01
V (0.6667, 0.3333, 0.6297)  1.38
Al (0.7499, 0.4998, 0.5000)  -0.01
Al (0.4493, 0.6038, 0.7500)  -0.01
V (0.6667, 0.3333, 0.3703)  1.38
V (0.0000, 0.2638, 0.7500)  0.43
Al (0.1628, 0.7665, 0.6615)  -0.01
Al (0.6037, 0.7665, 0.3385)  -0.01
Al (0.6037, 0.8372, 0.6615)  -0.01
Al (0.6038, 0.4493, 0.7500)  -0.01
Al (0.1523, 0.1523, 0.3826)  -0.01
Al (0.2335, 0.3963, 0.6615)  -0.01
V (0.7362, 0.7362, 0.7500)  0.43
Tb (0.5350, 0.0000, 0.0990)  -0.04
Al (0.1628, 0.3963, 0.1615)  -0.01
Al (0.6037, 0.8372, 0.8385)  -0.01
V (0.0000, 0.0000, 0.0000)  0.07
V (0.3333, 0.6667, 0.8703)  1.38
Al (0.8455, 0.3962, 0.7500)  -0.01
Al (0.8477, 0.8477, 0.6174)  -0.01
Al (0.8372, 0.6037, 0.8385)  -0.01
Al (0.2335, 0.3963, 0.8385)  -0.01
Al (0.0000, 0.2500, 0.0280)  0.00
V (0.0000, 0.7362, 0.2500)  0.43
Al (0.0000, 0.7500, 0.5280)  0.00
Al (0.3962, 0.5507, 0.2500)  -0.01
Al (0.8477, 0.0000, 0.3826)  -0.01
Al (0.0000, 0.7500, 0.9720)  0.00
Al (0.1523, 0.0000, 0.6174)  -0.01
V (0.0000, 0.0000, 0.5000)  0.07
Al (0.3962, 0.8455, 0.7500)  -0.01
Al (0.1628, 0.3963, 0.3385)  -0.01
Tb (0.0000, 0.5350, 0.4010)  -0.04
Al (0.1523, 0.1523, 0.1174)  -0.01

Total magnetic moment   0.14 μB per atom
SG   P6_3/mcm, No. 193
E   -4.97 eV per atom

No. 12
This record from Alexandria via LeMat-Bulk describes a geometry-optimized TbAl2V structure. The functional is PBE.

abc: 3.3648 3.3648 6.6240
angles: 90.00 90.00 90.00
Last column: magnetic moment on the atom in μB.
Positions (direct):
Tb (0.5000, 0.5000, 0.5000)  -0.04
Al (0.0000, 0.0000, 0.1935)  0.00
Al (0.0000, 0.0000, 0.8065)  0.00
V (0.5000, 0.5000, 0.0000)  0.36

Total magnetic moment   0.08 μB per atom
SG   P4/mmm, No. 123
E   -5.46 eV per atom